Entry 1:
# MgCu2Br, relaxed, DFT PBEsol
data_MgCu2Br
_symmetry_space_group_name_H-M 'P 1 m 1'
_symmetry_Int_Tables_number 6
_cell_length_a 3.277
_cell_length_b 3.258
_cell_length_c 6.631
_cell_angle_alpha 90.00
_cell_angle_beta 104.23
_cell_angle_gamma 90.00
loop_
_symmetry_equiv_pos_as_xyz
'x,y,z'
'x,-y,z'
loop_
_atom_site_label
_atom_site_type_symbol
_atom_site_fract_x
_atom_site_fract_y
_atom_site_fract_z
Mg1 Mg 0.000 0.000 0.000
Cu1 Cu 0.372 0.500 0.744
Cu2 Cu 0.807 0.000 0.615
Br1 Br 0.626 0.500 0.251
# calculated total energy	-3.15	eV/atom
# energy above the lowest structure with this stoichiometry	0	meV per atom
# Fermi-level density of states	1.1	states/eV/cell
# formation energy (no corrections)	-87	meV/atom
# mass density	5.60	g/cm³
# total magnetic moment	0.0	μB per formula unit

Entry 2:
# HfAsO2F, relaxed, DFT PBEsol
data_HfAsO2F
_symmetry_space_group_name_H-M 'P 4/m m m'
_symmetry_Int_Tables_number 123
_symmetry_space_group_name_Hall '-P 4 2'
_cell_length_a 4.052
_cell_length_b 4.052
_cell_length_c 4.071
_cell_angle_alpha 90.00
_cell_angle_beta 90.00
_cell_angle_gamma 90.00
loop_
_atom_site_label
_atom_site_type_symbol
_atom_site_fract_x
_atom_site_fract_y
_atom_site_fract_z
Hf1 Hf 0.000 0.000 0.000
As1 As 0.500 0.500 0.500
O1 O 0.000 0.500 0.500
F1 F 0.500 0.500 0.000
# calculated total energy	-6.24	eV/atom
# Fermi-level density of states	3.2	states/eV/cell
# formation energy (no corrections)	-634	meV/atom
# mass density	7.56	g/cm³
# total magnetic moment	1.4	μB per formula unit

Entry 3:
# Li2CoIr, relaxed, DFT PBEsol
data_Li2CoIr
_symmetry_space_group_name_H-M 'I m m m'
_symmetry_Int_Tables_number 71
_symmetry_space_group_name_Hall '-I 2 2'
_cell_length_a 2.610
_cell_length_b 4.246
_cell_length_c 8.664
_cell_angle_alpha 90.00
_cell_angle_beta 90.00
_cell_angle_gamma 90.00
loop_
_atom_site_label
_atom_site_type_symbol
_atom_site_fract_x
_atom_site_fract_y
_atom_site_fract_z
Li1 Li 0.000 0.000 0.242
Co1 Co 0.000 0.500 0.500
Ir1 Ir 0.000 0.500 0.000
# energy of formation from the pure elements	-0.1	eV/f.u.
# calculated total energy	-5.40	eV/atom
# energy above the lowest structure with this stoichiometry	0	meV per atom
# Fermi-level density of states	5.6	states/eV/cell
# mass density	9.17	g/cm³
# total magnetic moment	1.2	μB per formula unit

Entry 4:
# MnCoTeI2, relaxed, DFT PBEsol
data_MnCoTeI2
_symmetry_space_group_name_H-M 'P 4/m m m'
_symmetry_Int_Tables_number 123
_symmetry_space_group_name_Hall '-P 4 2'
_cell_length_a 5.267
_cell_length_b 5.267
_cell_length_c 5.325
_cell_angle_alpha 90.00
_cell_angle_beta 90.00
_cell_angle_gamma 90.00
loop_
_atom_site_label
_atom_site_type_symbol
_atom_site_fract_x
_atom_site_fract_y
_atom_site_fract_z
Mn1 Mn 0.000 0.000 0.000
Co1 Co 0.500 0.500 0.500
Te1 Te 0.000 0.000 0.500
I1 I 0.000 0.500 0.000
# calculated total energy	-3.99	eV/atom
# Fermi-level density of states	9.1	states/eV/cell
# formation energy (no corrections)	924	meV/atom
# mass density	5.57	g/cm³
# total magnetic moment	6.8	μB per formula unit